1.
Here is crystalline KZnSi3 at its relaxed geometry from the Alexandria database. Energies are from PBE-GGA.

abc: 4.9063 4.9063 4.9063
angles: 90.00 90.00 90.00
Fractional positions:
Si (0.5000, 0.0000, 0.0000)
Si (0.0000, 0.5000, 0.0000)
Si (0.0000, 0.0000, 0.5000)
K (0.5000, 0.5000, 0.5000)
Zn (0.0000, 0.0000, 0.0000)

Values from the calculation:
The value obtained for the density of states at the Fermi level is 2.8 states/eV/cell. The space group is Pm-3m (221). The calculation puts the uncorrected formation energy at 763 meV per atom. As for the volume: 118.1 Å³ per cell.

=====

2.
Here is crystalline KZnSi2 at its relaxed geometry from the Alexandria database. Energies are from PBE-GGA.

abc: 4.4352 4.4352 6.7003
angles: 76.79 76.79 50.94
Fractional positions:
Si (0.4858, 0.4858, 0.6332)
Si (0.0142, 0.0142, 0.8668)
K (0.2500, 0.2500, 0.2500)
Zn (0.7500, 0.7500, 0.7500)

Values from the calculation:
The value obtained for the density of states at the Fermi level is 2.3 states/eV/cell. The space group is C2/m (12). The calculation puts the uncorrected formation energy at 153 meV per atom. As for the volume: 99.0 Å³ per cell.

=====

3.
Here is crystalline KZnSi3 at its relaxed geometry from the Alexandria database. Energies are from PBE-GGA.

abc: 5.5448 5.5448 5.5448
angles: 90.00 90.00 90.00
Fractional positions:
Zn (0.5000, 0.5000, 0.5000)
Si (0.0000, 0.5000, 0.0000)
Si (0.0000, 0.0000, 0.5000)
Si (0.5000, 0.0000, 0.0000)
K (0.0000, 0.0000, 0.0000)

Values from the calculation:
The value obtained for the density of states at the Fermi level is 6.3 states/eV/cell. The space group is Pm-3m (221). The calculation puts the uncorrected formation energy at 2119 meV per atom. As for the volume: 170.5 Å³ per cell.

=====

Repeat the second record exactly.
Here is crystalline KZnSi2 at its relaxed geometry from the Alexandria database. Energies are from PBE-GGA.

abc: 4.4352 4.4352 6.7003
angles: 76.79 76.79 50.94
Fractional positions:
Si (0.4858, 0.4858, 0.6332)
Si (0.0142, 0.0142, 0.8668)
K (0.2500, 0.2500, 0.2500)
Zn (0.7500, 0.7500, 0.7500)

Values from the calculation:
The value obtained for the density of states at the Fermi level is 2.3 states/eV/cell. The space group is C2/m (12). The calculation puts the uncorrected formation energy at 153 meV per atom. As for the volume: 99.0 Å³ per cell.